The following is a DFT calculation (GGA-PBE) of a relaxed AlSiRh crystal.

Cell lengths 5.3657, 5.3658, 2.9313 Å; angles 74.15, 74.15, 31.70 degrees
Closest atoms and distances in Å follow each position.
Fractional coordinates of all 3 atoms:
Si: 0.6813 0.6813 0.3187  4 Rh 2.50, 4 Al 2.77
Rh: 0.3227 0.3227 0.6773  4 Si 2.50, 4 Al 2.69
Al: 0.9959 0.9959 0.0041  4 Rh 2.69, 4 Si 2.77, 4 Al 2.93

Calculated values
Uncorrected energy = -5.96 eV/atom
Mass density = 6168 kg/m3
Crystal system = tetragonal
Spin magnetization = 0.0 μB per formula unit